Entry 1
Cs2SnBr5 | PBE | relaxed

The structure in CIF format:
```
data_Cs2SnBr5
_space_group_name_H-M_alt 'I 4 m m'
_space_group_IT_number 107
_space_group_name_Hall 'I 4 -2'
_cell_length_a 8.269
_cell_length_b 8.269
_cell_length_c 10.378
_cell_angle_alpha 90.00
_cell_angle_beta 90.00
_cell_angle_gamma 90.00
loop_
_atom_site_label
_atom_site_type_symbol
_atom_site_fract_x
_atom_site_fract_y
_atom_site_fract_z
Cs1 Cs 0.000 0.500 0.000
Sn1 Sn 0.000 0.000 0.276
Br1 Br 0.000 0.000 0.526
Br2 Br 0.236 0.236 0.245
```


Entry 2
Cs2SnBr5 | PBE | relaxed

The structure in CIF format:
```
data_Cs2SnBr5
_space_group_name_H-M_alt 'P n m a'
_space_group_IT_number 62
_cell_length_a 10.196
_cell_length_b 7.876
_cell_length_c 16.342
_cell_angle_alpha 90.00
_cell_angle_beta 90.00
_cell_angle_gamma 90.00
loop_
_space_group_symop_operation_xyz
'x,y,z'
'-x,-y,-z'
'-x+1/2,-y,z+1/2'
'x+1/2,y,-z+1/2'
'x+1/2,-y+1/2,-z+1/2'
'-x+1/2,y+1/2,z+1/2'
'-x,y+1/2,-z'
'x,-y+1/2,z'
loop_
_atom_site_label
_atom_site_type_symbol
_atom_site_fract_x
_atom_site_fract_y
_atom_site_fract_z
Cs1 Cs 0.031 0.250 0.201
Cs2 Cs 0.175 0.750 0.417
Sn1 Sn 0.180 0.750 0.062
Br1 Br 0.000 0.000 0.000
Br2 Br 0.036 0.750 0.205
Br3 Br 0.160 0.000 0.614
Br4 Br 0.202 0.250 0.403
```


Which structure is the least stable? The one labeled entry 1.


Entry 1
CsSn4Br8 | PBE | relaxed

The structure in CIF format:
```
data_CsSn4Br8
_space_group_name_H-M_alt 'R -3 m'
_space_group_IT_number 166
_space_group_name_Hall '-R 3 2"'
_cell_length_a 9.0863
_cell_length_b 9.0863
_cell_length_c 25.4925
_cell_angle_alpha 90.00
_cell_angle_beta 90.00
_cell_angle_gamma 120.00
loop_
_atom_site_label
_atom_site_type_symbol
_atom_site_fract_x
_atom_site_fract_y
_atom_site_fract_z
Cs1 Cs 0.0000 0.0000 0.0000
Sn1 Sn 0.0000 0.0000 0.5000
Sn2 Sn 0.0000 0.5000 0.5000
Br1 Br 0.0000 0.0000 0.2279
Br2 Br 0.0005 0.5003 0.2291
```


Entry 2
CsSn4Br8 | PBE | relaxed

The structure in CIF format:
```
data_CsSn4Br8
_space_group_name_H-M_alt 'F -4 3 m'
_space_group_IT_number 216
_space_group_name_Hall 'F -4 2 3'
_cell_length_a 13.291
_cell_length_b 13.291
_cell_length_c 13.291
_cell_angle_alpha 90.00
_cell_angle_beta 90.00
_cell_angle_gamma 90.00
loop_
_atom_site_label
_atom_site_type_symbol
_atom_site_fract_x
_atom_site_fract_y
_atom_site_fract_z
Cs1 Cs 0.000 0.000 0.000
Sn1 Sn 0.121 0.121 0.621
Br1 Br 0.108 0.108 0.392
Br2 Br 0.148 0.148 0.852
```


Which structure is the least stable? The one labeled entry 2.


Entry 1
Cs3Sn2Br7 | PBE | relaxed

The structure in CIF format:
```
data_Cs3Sn2Br7
_space_group_name_H-M_alt 'I 4/m m m'
_space_group_IT_number 139
_space_group_name_Hall '-I 4 2'
_cell_length_a 5.894
_cell_length_b 5.894
_cell_length_c 29.927
_cell_angle_alpha 90.00
_cell_angle_beta 90.00
_cell_angle_gamma 90.00
loop_
_atom_site_label
_atom_site_type_symbol
_atom_site_fract_x
_atom_site_fract_y
_atom_site_fract_z
Cs1 Cs 0.000 0.000 0.000
Cs2 Cs 0.000 0.000 0.181
Sn1 Sn 0.000 0.000 0.399
Br1 Br 0.000 0.000 0.302
Br2 Br 0.000 0.000 0.500
Br3 Br 0.000 0.500 0.098
```


Entry 2
Cs3Sn2Br7 | PBE | relaxed

The structure in CIF format:
```
data_Cs3Sn2Br7
_space_group_name_H-M_alt 'C m m m'
_space_group_IT_number 65
_space_group_name_Hall '-C 2 2'
_cell_length_a 5.940
_cell_length_b 29.437
_cell_length_c 5.829
_cell_angle_alpha 90.00
_cell_angle_beta 90.00
_cell_angle_gamma 90.00
loop_
_atom_site_label
_atom_site_type_symbol
_atom_site_fract_x
_atom_site_fract_y
_atom_site_fract_z
Cs1 Cs 0.000 0.000 0.000
Cs2 Cs 0.000 0.183 0.000
Sn1 Sn 0.000 0.397 0.500
Br1 Br 0.000 0.100 0.500
Br2 Br 0.000 0.299 0.500
Br3 Br 0.000 0.398 0.000
Br4 Br 0.000 0.500 0.500
```


Which structure is the least stable? The one labeled entry 2.


Entry 1
Cs2Sn2Br5 | PBE | relaxed

The structure in CIF format:
```
data_Cs2Sn2Br5
_space_group_name_H-M_alt 'A m m 2'
_space_group_IT_number 38
_cell_length_a 9.462
_cell_length_b 8.495
_cell_length_c 8.494
_cell_angle_alpha 90.00
_cell_angle_beta 90.00
_cell_angle_gamma 90.00
loop_
_space_group_symop_operation_xyz
'x,y,z'
'-x,-y,z'
'-x,y,z'
'x,-y,z'
'x,y+1/2,z+1/2'
'-x,-y+1/2,z+1/2'
'-x,y+1/2,z+1/2'
'x,-y+1/2,z+1/2'
loop_
_atom_site_label
_atom_site_type_symbol
_atom_site_fract_x
_atom_site_fract_y
_atom_site_fract_z
Cs1 Cs 0.000 0.000 0.000
Cs2 Cs 0.500 0.000 0.001
Sn1 Sn 0.190 0.000 0.499
Br1 Br 0.223 0.250 0.250
Br2 Br 0.500 0.000 0.500
```


Entry 2
Cs2Sn2Br5 | PBE | relaxed

The structure in CIF format:
```
data_Cs2Sn2Br5
_space_group_name_H-M_alt 'C 1 2/m 1'
_space_group_IT_number 12
_cell_length_a 17.215
_cell_length_b 6.257
_cell_length_c 7.708
_cell_angle_alpha 90.00
_cell_angle_beta 111.91
_cell_angle_gamma 90.00
loop_
_space_group_symop_operation_xyz
'x,y,z'
'-x,-y,-z'
'-x,y,-z'
'x,-y,z'
'x+1/2,y+1/2,z'
'-x+1/2,-y+1/2,-z'
'-x+1/2,y+1/2,-z'
'x+1/2,-y+1/2,z'
loop_
_atom_site_label
_atom_site_type_symbol
_atom_site_fract_x
_atom_site_fract_y
_atom_site_fract_z
Cs1 Cs 0.098 0.000 0.322
Sn1 Sn 0.166 0.500 0.924
Br1 Br 0.000 0.500 0.000
Br2 Br 0.135 0.000 0.872
Br3 Br 0.172 0.500 0.573
```


Which structure is the least stable? The one labeled entry 2.


Entry 1
CsSrBr2 | PBE | relaxed

The structure in CIF format:
```
data_CsSrBr2
_space_group_name_H-M_alt 'R -3 m'
_space_group_IT_number 166
_space_group_name_Hall '-R 3 2"'
_cell_length_a 4.8669
_cell_length_b 4.8669
_cell_length_c 31.2966
_cell_angle_alpha 90.00
_cell_angle_beta 90.00
_cell_angle_gamma 120.00
loop_
_atom_site_label
_atom_site_type_symbol
_atom_site_fract_x
_atom_site_fract_y
_atom_site_fract_z
Cs1 Cs 0.0000 0.0000 0.0000
Sr1 Sr 0.0000 0.0000 0.5000
Br1 Br 0.0000 0.0000 0.1204
```


Entry 2
CsSrBr2 | PBE | relaxed

The structure in CIF format:
```
data_CsSrBr2
_space_group_name_H-M_alt 'F m -3 m'
_space_group_IT_number 225
_space_group_name_Hall '-F 4 2 3'
_cell_length_a 8.529
_cell_length_b 8.529
_cell_length_c 8.529
_cell_angle_alpha 90.00
_cell_angle_beta 90.00
_cell_angle_gamma 90.00
loop_
_atom_site_label
_atom_site_type_symbol
_atom_site_fract_x
_atom_site_fract_y
_atom_site_fract_z
Cs1 Cs 0.000 0.000 0.000
Sr1 Sr 0.000 0.000 0.500
Br1 Br 0.250 0.250 0.250
```


Which structure is the least stable? The one labeled entry 2.


Entry 1
Cs3Sr2Br7 | PBE | relaxed

The structure in CIF format:
```
data_Cs3Sr2Br7
_space_group_name_H-M_alt 'C m m m'
_space_group_IT_number 65
_space_group_name_Hall '-C 2 2'
_cell_length_a 6.066
_cell_length_b 29.587
_cell_length_c 5.919
_cell_angle_alpha 90.00
_cell_angle_beta 90.00
_cell_angle_gamma 90.00
loop_
_atom_site_label
_atom_site_type_symbol
_atom_site_fract_x
_atom_site_fract_y
_atom_site_fract_z
Cs1 Cs 0.000 0.000 0.000
Cs2 Cs 0.000 0.185 0.000
Sr1 Sr 0.000 0.397 0.500
Br1 Br 0.000 0.098 0.500
Br2 Br 0.000 0.296 0.500
Br3 Br 0.000 0.400 0.000
Br4 Br 0.000 0.500 0.500
```


Entry 2
Cs3Sr2Br7 | PBE | relaxed

The structure in CIF format:
```
data_Cs3Sr2Br7
_space_group_name_H-M_alt 'I 4/m m m'
_space_group_IT_number 139
_space_group_name_Hall '-I 4 2'
_cell_length_a 6.009
_cell_length_b 6.009
_cell_length_c 30.194
_cell_angle_alpha 90.00
_cell_angle_beta 90.00
_cell_angle_gamma 90.00
loop_
_atom_site_label
_atom_site_type_symbol
_atom_site_fract_x
_atom_site_fract_y
_atom_site_fract_z
Cs1 Cs 0.000 0.000 0.000
Cs2 Cs 0.000 0.000 0.182
Sr1 Sr 0.000 0.000 0.399
Br1 Br 0.000 0.000 0.300
Br2 Br 0.000 0.000 0.500
Br3 Br 0.000 0.500 0.097
```


Which structure is the least stable? The one labeled entry 1.